# UCrSb2O8 (PBE with a Hubbard U, relaxed)
data_UCrSb2O8
_chemical_formula_sum 'U1 Cr1 Sb2 O8'
_cell_length_a 4.9330
_cell_length_b 4.9324
_cell_length_c 6.6278
_cell_angle_alpha 90.00
_cell_angle_beta 90.00
_cell_angle_gamma 89.82
_symmetry_space_group_name_H-M 'P 1'
_symmetry_Int_Tables_number 1
loop_
_symmetry_equiv_pos_as_xyz
'x,y,z'
loop_
_atom_site_label
_atom_site_fract_x
_atom_site_fract_y
_atom_site_fract_z
O1 0.8116 0.1885 0.2550
O2 0.8117 0.1886 0.7450
O3 0.2983 0.2982 0.4999
O4 0.1884 0.8115 0.7450
O5 0.3142 0.3139 0.0000
O6 0.6858 0.6861 0.0000
O7 0.1883 0.8114 0.2550
O8 0.7017 0.7018 0.5001
Cr1 0.0000 0.0000 0.5000
U1 0.0000 0.0000 0.0000
Sb1 0.5000 0.5000 0.7368
Sb2 0.5000 0.5000 0.2632
# - total energy (eV/atom) = -7.491